[1]
The following is a DFT calculation (GGA-PBE) of a relaxed structure of Sm6Rh2S.

Results
space group: P2_1/c, No. 14
energy: -6.02 eV per atom
Fermi-level density of states: 0.999 states/eV/atom

Cell lengths 6.630, 7.307, 11.996 Å; angles 90.00, 121.45, 90.00 degrees
Positions (direct):
Sm (0.087, 0.179, 0.426)
Sm (0.087, 0.321, 0.926)
Sm (0.246, 0.668, 0.427)
Sm (0.246, 0.832, 0.927)
Sm (0.400, 0.049, 0.247)
Sm (0.400, 0.451, 0.747)
Sm (0.600, 0.549, 0.253)
Sm (0.600, 0.951, 0.753)
Sm (0.754, 0.168, 0.073)
Sm (0.754, 0.332, 0.573)
Sm (0.913, 0.679, 0.074)
Sm (0.913, 0.821, 0.574)
Rh (0.186, 0.113, 0.740)
Rh (0.186, 0.387, 0.240)
Rh (0.814, 0.613, 0.760)
Rh (0.814, 0.887, 0.260)
S (0.500, 0.000, 0.500)
S (0.500, 0.500, 0.000)

[2]
The following is a DFT calculation (GGA-PBE) of a relaxed structure of SmRhS.

Results
space group: P3m1, No. 156
energy: -6.67 eV per atom
Fermi-level density of states: 0.139 states/eV/atom

Cell lengths 4.191, 4.191, 3.704 Å; angles 90.00, 90.00, 120.00 degrees
Positions (direct):
Sm (0.000, 0.000, 0.000)
Rh (0.667, 0.333, 0.502)
S (0.333, 0.667, 0.498)

[3]
The following is a DFT calculation (GGA-PBE) of a relaxed structure of Sm5RhS4.

Results
space group: I4/mmm, No. 139
energy: -6.48 eV per atom
Fermi-level density of states: 0.467 states/eV/atom

Cell lengths 14.588, 14.588, 14.588 Å; angles 164.12, 164.12, 22.53 degrees
Positions (direct):
Sm (0.000, 0.000, 0.000)
Sm (0.202, 0.202, 0.000)
Sm (0.401, 0.401, 0.000)
Sm (0.599, 0.599, 0.000)
Sm (0.798, 0.798, 0.000)
Rh (0.500, 0.500, 0.000)
S (0.103, 0.103, 0.000)
S (0.302, 0.302, 0.000)
S (0.698, 0.698, 0.000)
S (0.897, 0.897, 0.000)

[4]
The following is a DFT calculation (GGA-PBE) of a relaxed structure of Sm6Te3Rh2S.

Results
space group: C2/m, No. 12
energy: -5.98 eV per atom
Fermi-level density of states: 0.648 states/eV/atom

Cell lengths 7.284, 7.284, 7.716 Å; angles 99.18, 99.18, 120.00 degrees
Positions (direct):
Sm (0.089, 0.431, 0.788)
Sm (0.228, 0.228, 0.212)
Sm (0.431, 0.089, 0.788)
Sm (0.569, 0.911, 0.212)
Sm (0.772, 0.772, 0.788)
Sm (0.911, 0.569, 0.212)
Te (0.000, 0.000, 0.500)
Te (0.336, 0.664, 0.500)
Te (0.664, 0.336, 0.500)
Rh (0.167, 0.833, 0.000)
Rh (0.833, 0.167, 0.000)
S (0.500, 0.500, 0.000)

[5]
The following is a DFT calculation (GGA-PBE) of a relaxed structure of Sm4Te2RhS.

Results
space group: P2/m, No. 10
energy: -5.94 eV per atom
Fermi-level density of states: 0.764 states/eV/atom

Cell lengths 7.402, 4.164, 7.592 Å; angles 90.00, 108.50, 90.00 degrees
Positions (direct):
Sm (0.229, 0.000, 0.209)
Sm (0.260, 0.500, 0.785)
Sm (0.740, 0.500, 0.215)
Sm (0.771, 0.000, 0.791)
Te (0.000, 0.000, 0.500)
Te (0.500, 0.500, 0.500)
Rh (0.000, 0.500, 0.000)
S (0.500, 0.000, 0.000)

[6]
The following is a DFT calculation (GGA-PBE) of a relaxed structure of SmThRhS.

Results
space group: R3m, No. 160
energy: -7.16 eV per atom
Fermi-level density of states: 0.318 states/eV/atom

Cell lengths 7.699, 7.699, 7.699 Å; angles 29.93, 29.93, 29.93 degrees
Positions (direct):
Sm (0.000, 0.000, 0.000)
Th (0.819, 0.819, 0.819)
Rh (0.415, 0.415, 0.415)
S (0.243, 0.243, 0.243)

[7]
The following is a DFT calculation (GGA-PBE) of a relaxed structure of SnRhS2.

Results
space group: R-3m, No. 166
energy: -5.26 eV per atom
Fermi-level density of states: 0.408 states/eV/atom

Cell lengths 8.239, 8.239, 8.239 Å; angles 24.82, 24.82, 24.82 degrees
Positions (direct):
Sn (0.000, 0.000, 0.000)
Rh (0.500, 0.500, 0.500)
S (0.116, 0.116, 0.116)
S (0.884, 0.884, 0.884)

[8]
The following is a DFT calculation (GGA-PBE) of a relaxed structure of SnRhS2.

Results
space group: R3m, No. 160
energy: -5.20 eV per atom
Fermi-level density of states: 0.268 states/eV/atom

Cell lengths 7.352, 7.352, 7.352 Å; angles 28.22, 28.22, 28.22 degrees
Positions (direct):
Sn (0.000, 0.000, 0.000)
Rh (0.837, 0.837, 0.837)
S (0.227, 0.227, 0.227)
S (0.444, 0.444, 0.444)

Sequential energy relative to the elements, uncorrected output: -779 -1268 -1731 -1262 -1364 -1252 -355 -296 meV/atom